# 1
The following is a DFT calculation (PBE-GGA) of a relaxed structure of TlAgSb2.

```
TlAgSb2
1.0
-3.341 -0.841 -3.871
2.448 -1.043 -1.887
-0.918 -5.952 2.086
Tl Sb Ag
1 2 1
Cartesian
0.751 -3.619 0.138 Tl
0.546 -2.960 -3.297 Sb
-0.911 -5.906 2.069 Sb
0.097 -5.842 -2.284 Ag
```

Values from the calculation:
- energy relative to the elements, uncorrected (meV per atom) = 125.5
- electronic total energy (eV per formula unit) = -13.0
- volume (Å³ per cell) = 108
- Fermi-level density of states (states/eV/f.u.) = 1.656

***

# 2
The following is a DFT calculation (PBE-GGA) of a relaxed structure of SrSiBS2.

```
SrSiBS2
1.0
-1.630 -3.041 -3.511
3.403 0.338 -1.873
1.765 -3.847 2.513
S Sr Si B
2 1 1 1
Cartesian
0.883 -1.924 1.256 S
-0.815 -1.520 -1.755 S
1.769 -3.275 -1.436 Sr
0.000 0.000 0.000 Si
1.702 0.169 -0.937 B
```

Values from the calculation:
- energy relative to the elements, uncorrected (meV per atom) = -364.7
- electronic total energy (eV per formula unit) = -23.9
- volume (Å³ per cell) = 94
- Fermi-level density of states (states/eV/f.u.) = 1.991

***

# 3
The following is a DFT calculation (PBE-GGA) of a relaxed structure of V2Ga2Sn.

```
V2Ga2Sn
1.0
-0.375 3.294 6.486
-6.495 -3.076 1.186
1.442 -2.520 1.363
Ga Sn V
4 2 4
Cartesian
-5.840 -1.456 3.488 Ga
-4.373 0.975 6.429 Ga
-1.030 1.673 4.184 Ga
-2.497 -0.757 1.243 Ga
0.000 0.000 0.000 Sn
-3.435 0.109 3.836 Sn
-4.895 -1.579 6.034 V
-0.533 -0.723 3.001 V
-3.724 -2.760 2.612 V
-1.704 0.458 6.423 V
```

Values from the calculation:
- polymorph energy (0 for the lowest one) (eV per formula unit) = 0.66
- electronic total energy (eV per formula unit) = -27.5
- volume (Å³ per cell) = 170
- ΔH_f (0 K) (eV/f.u.) = 0.789
- Fermi-level density of states (states/eV/f.u.) = 4.587